An optimized crystal structure of Rb3GaSn. Source: Alexandria via LeMat-Bulk, functional PBE-GGA.

Cell lengths 6.808, 6.808, 6.808 Å; angles 90.00, 90.00, 90.00 degrees
Fractional positions:
1 Rb 0.000 0.000 0.500
2 Rb 0.000 0.500 0.000
3 Rb 0.500 0.000 0.000
4 Ga 0.000 0.000 0.000
5 Sn 0.500 0.500 0.500

ρ: 2.34 g/cm³
offset from the most stable computed form: 2.002 eV per formula unit
SG: No. 221
magnetic moment: 0.0 Bohr magnetons per cell
formation energy from the elements: 0.3998 eV per atom

---

An optimized crystal structure of CaTm2PaP4. Source: Alexandria via LeMat-Bulk, functional PBE-GGA.

Cell lengths 6.887, 3.996, 6.891 Å; angles 90.00, 109.15, 90.00 degrees
Fractional positions:
1 Ca 0.000 0.000 0.000
2 Tm 0.500 0.000 0.500
3 Tm 0.500 0.500 0.000
4 Pa 0.000 0.500 0.500
5 P 0.252 0.000 0.745
6 P 0.253 0.500 0.263
7 P 0.747 0.500 0.737
8 P 0.748 0.000 0.255

ρ: 6.79 g/cm³
SG: No. 10
magnetic moment: 0.0 Bohr magnetons per cell
formation energy from the elements: -1.4254 eV per atom

---

An optimized crystal structure of Sn2AsP. Source: Alexandria via LeMat-Bulk, functional PBE-GGA.

Cell lengths 4.979, 4.979, 4.979 Å; angles 60.00, 60.00, 60.00 degrees
Fractional positions:
1 Sn 0.250 0.250 0.250
2 Sn 0.750 0.750 0.750
3 As 0.000 0.000 0.000
4 P 0.500 0.500 0.500

ρ: 6.53 g/cm³
offset from the most stable computed form: 1.205 eV per formula unit
SG: No. 225
magnetic moment: 0.0 Bohr magnetons per cell
formation energy from the elements: 0.2751 eV per atom

---

An optimized crystal structure of Sr2TiTc. Source: Alexandria via LeMat-Bulk, functional PBE-GGA.

Cell lengths 5.292, 5.292, 5.292 Å; angles 60.00, 60.00, 60.00 degrees
Fractional positions:
1 Sr 0.250 0.250 0.250
2 Sr 0.750 0.750 0.750
3 Ti 0.000 0.000 0.000
4 Tc 0.500 0.500 0.500

ρ: 5.09 g/cm³
offset from the most stable computed form: 1.979 eV per formula unit
SG: No. 225
magnetic moment: 0.0 Bohr magnetons per cell
formation energy from the elements: 1.1640 eV per atom

---

An optimized crystal structure of BaCdP2S. Source: Alexandria via LeMat-Bulk, functional PBE-GGA.

Cell lengths 5.036, 5.036, 4.984 Å; angles 90.00, 90.00, 90.00 degrees
Fractional positions:
1 Ba 0.000 0.000 0.000
2 Cd 0.500 0.500 0.000
3 P 0.000 0.500 0.500
4 P 0.500 0.000 0.500
5 S 0.500 0.500 0.500

ρ: 4.52 g/cm³
offset from the most stable computed form: 0.345 eV per formula unit
SG: No. 123
magnetic moment: 0.0 Bohr magnetons per cell
formation energy from raw total energies: 0.30 eV per formula unit

---

An optimized crystal structure of Dy2Tm3ThTe6. Source: Alexandria via LeMat-Bulk, functional PBE-GGA.

Cell lengths 9.937, 9.937, 8.911 Å; angles 107.02, 107.02, 24.66 degrees
Fractional positions:
1 Dy 0.156 0.156 0.306
2 Dy 0.844 0.844 0.694
3 Tm 0.162 0.162 0.819
4 Tm 0.500 0.500 0.500
5 Tm 0.838 0.838 0.181
6 Th 0.500 0.500 0.000
7 Te 0.003 0.003 0.738
8 Te 0.327 0.327 0.931
9 Te 0.330 0.330 0.425
10 Te 0.670 0.670 0.575
11 Te 0.673 0.673 0.069
12 Te 0.997 0.997 0.262

ρ: 8.67 g/cm³
SG: No. 12
magnetic moment: 0.0 Bohr magnetons per cell
formation energy from raw total energies: -14.11 eV per formula unit

---

An optimized crystal structure of MnBiRu2. Source: Alexandria via LeMat-Bulk, functional PBE-GGA.

Cell lengths 7.043, 7.043, 7.043 Å; angles 134.30, 134.30, 66.63 degrees
Fractional positions:
1 Mn 0.000 0.000 0.000
2 Mn 0.750 0.250 0.500
3 Bi 0.250 0.750 0.500
4 Bi 0.500 0.500 0.000
5 Ru 0.051 0.625 0.926
6 Ru 0.375 0.301 0.426
7 Ru 0.699 0.125 0.074
8 Ru 0.875 0.949 0.574

ρ: 8.79 g/cm³
SG: No. 122
magnetic moment: 0.0 Bohr magnetons per cell
formation energy from the elements: 0.9521 eV per atom

---

An optimized crystal structure of Al2VFe. Source: Alexandria via LeMat-Bulk, functional PBE-GGA.

Cell lengths 9.434, 9.434, 9.434 Å; angles 157.69, 157.69, 31.75 degrees
Fractional positions:
1 Al 0.122 0.625 0.997
2 Al 0.375 0.372 0.497
3 Al 0.628 0.125 0.003
4 Al 0.875 0.878 0.503
5 V 0.250 0.750 0.500
6 V 0.500 0.500 0.000
7 Fe 0.000 0.000 0.000
8 Fe 0.750 0.250 0.500

ρ: 4.42 g/cm³
SG: No. 122
magnetic moment: 1.0 Bohr magnetons per cell
formation energy from the elements: 0.3146 eV per atom

---

An optimized crystal structure of Ba2PmGaTe5. Source: Alexandria via LeMat-Bulk, functional PBE-GGA.

Cell lengths 10.616, 10.616, 14.262 Å; angles 90.00, 90.00, 155.28 degrees
Fractional positions:
1 Ba 0.120 0.880 0.500
2 Ba 0.124 0.876 0.138
3 Ba 0.876 0.124 0.638
4 Ba 0.880 0.120 0.000
5 Pm 0.206 0.794 0.838
6 Pm 0.794 0.206 0.338
7 Ga 0.439 0.561 0.244
8 Ga 0.561 0.439 0.744
9 Te 0.046 0.954 0.853
10 Te 0.295 0.705 0.487
11 Te 0.314 0.686 0.181
12 Te 0.354 0.646 0.820
13 Te 0.500 0.500 0.084
14 Te 0.500 0.500 0.584
15 Te 0.646 0.354 0.320
16 Te 0.686 0.314 0.681
17 Te 0.705 0.295 0.987
18 Te 0.954 0.046 0.353

ρ: 5.57 g/cm³
SG: No. 36
magnetic moment: 0.0 Bohr magnetons per cell
formation energy from raw total energies: -11.74 eV per formula unit

---

An optimized crystal structure of KAlSn2. Source: Alexandria via LeMat-Bulk, functional PBE-GGA.

Cell lengths 10.033, 10.033, 10.033 Å; angles 146.73, 146.73, 47.76 degrees
Fractional positions:
1 K 0.000 0.000 0.000
2 K 0.750 0.250 0.500
3 Al 0.250 0.750 0.500
4 Al 0.500 0.500 0.000
5 Sn 0.296 0.625 0.171
6 Sn 0.375 0.546 0.671
7 Sn 0.454 0.125 0.829
8 Sn 0.875 0.704 0.329

ρ: 3.33 g/cm³
SG: No. 122
magnetic moment: 0.0 Bohr magnetons per cell
formation energy from the elements: 0.1238 eV per atom

---

An optimized crystal structure of CeThCo. Source: Alexandria via LeMat-Bulk, functional PBE-GGA.

Cell lengths 6.742, 6.742, 7.296 Å; angles 109.74, 109.74, 95.92 degrees
Fractional positions:
1 Ce 0.000 0.000 0.000
2 Ce 0.000 0.000 0.500
3 Ce 0.633 0.675 0.608
4 Ce 0.675 0.633 0.108
5 Th 0.038 0.449 0.404
6 Th 0.116 0.510 0.935
7 Th 0.449 0.038 0.904
8 Th 0.510 0.116 0.435
9 Co 0.241 0.760 0.365
10 Co 0.383 0.388 0.728
11 Co 0.388 0.383 0.228
12 Co 0.760 0.241 0.865

ρ: 10.05 g/cm³
offset from the most stable computed form: 0.126 eV per formula unit
SG: No. 9
magnetic moment: 0.0 Bohr magnetons per cell
formation energy from the elements: -0.1047 eV per atom

---

An optimized crystal structure of Pr2TeAs. Source: Alexandria via LeMat-Bulk, functional PBE-GGA.

Cell lengths 8.039, 8.039, 8.039 Å; angles 31.15, 31.15, 31.15 degrees
Fractional positions:
1 Pr 0.000 0.000 0.000
2 Pr 0.188 0.188 0.188
3 Te 0.761 0.761 0.761
4 As 0.593 0.593 0.593

ρ: 6.52 g/cm³
offset from the most stable computed form: 0.157 eV per formula unit
SG: No. 160
magnetic moment: 0.0 Bohr magnetons per cell
formation energy from raw total energies: -6.02 eV per formula unit

---

An optimized crystal structure of SrYSn2. Source: Alexandria via LeMat-Bulk, functional PBE-GGA.

Cell lengths 7.042, 7.042, 7.042 Å; angles 104.47, 104.47, 120.02 degrees
Fractional positions:
1 Sr 0.000 0.000 0.000
2 Sr 0.750 0.250 0.500
3 Y 0.250 0.750 0.500
4 Y 0.500 0.500 0.000
5 Sn 0.142 0.625 0.017
6 Sn 0.375 0.392 0.517
7 Sn 0.608 0.125 0.983
8 Sn 0.875 0.858 0.483

ρ: 5.25 g/cm³
SG: No. 122
magnetic moment: 0.0 Bohr magnetons per cell
formation energy from the elements: -0.2931 eV per atom

---

An optimized crystal structure of NdSiNiN. Source: Alexandria via LeMat-Bulk, functional PBE-GGA.

Cell lengths 3.765, 3.765, 8.331 Å; angles 90.00, 90.00, 90.00 degrees
Fractional positions:
1 Nd 0.250 0.250 0.158
2 Nd 0.750 0.750 0.842
3 Si 0.250 0.250 0.655
4 Si 0.750 0.750 0.345
5 Ni 0.250 0.750 0.500
6 Ni 0.750 0.250 0.500
7 N 0.250 0.250 0.868
8 N 0.750 0.750 0.132

ρ: 6.89 g/cm³
SG: No. 129
magnetic moment: 0.0 Bohr magnetons per cell
formation energy from raw total energies: -4.27 eV per formula unit

---

An optimized crystal structure of Cs2UBr5. Source: Alexandria via LeMat-Bulk, functional PBE-GGA.

Cell lengths 10.456, 8.117, 16.433 Å; angles 90.00, 90.00, 90.00 degrees
Fractional positions:
1 Cs 0.031 0.250 0.208
2 Cs 0.166 0.750 0.416
3 Cs 0.334 0.250 0.916
4 Cs 0.469 0.750 0.708
5 Cs 0.531 0.250 0.292
6 Cs 0.666 0.750 0.084
7 Cs 0.834 0.250 0.584
8 Cs 0.969 0.750 0.792
9 U 0.184 0.750 0.062
10 U 0.316 0.250 0.562
11 U 0.684 0.750 0.438
12 U 0.816 0.250 0.938
13 Br 0.000 0.000 0.000
14 Br 0.000 0.500 0.000
15 Br 0.032 0.750 0.207
16 Br 0.151 0.509 0.613
17 Br 0.151 0.991 0.613
18 Br 0.217 0.250 0.396
19 Br 0.283 0.750 0.896
20 Br 0.349 0.009 0.113
21 Br 0.349 0.491 0.113
22 Br 0.468 0.250 0.707
23 Br 0.500 0.000 0.500
24 Br 0.500 0.500 0.500
25 Br 0.532 0.750 0.293
26 Br 0.651 0.509 0.887
27 Br 0.651 0.991 0.887
28 Br 0.717 0.250 0.104
29 Br 0.783 0.750 0.604
30 Br 0.849 0.009 0.387
31 Br 0.849 0.491 0.387
32 Br 0.968 0.250 0.793

ρ: 4.30 g/cm³
SG: No. 62
magnetic moment: 12.0 Bohr magnetons per cell
formation energy from raw total energies: -12.57 eV per formula unit

---

An optimized crystal structure of RbHfI5. Source: Alexandria via LeMat-Bulk, functional PBE-GGA.

Cell lengths 9.377, 9.377, 11.299 Å; angles 108.69, 108.69, 54.28 degrees
Fractional positions:
1 Rb 0.032 0.968 0.750
2 Rb 0.968 0.032 0.250
3 Hf 0.500 0.500 0.000
4 Hf 0.500 0.500 0.500
5 I 0.146 0.599 0.475
6 I 0.148 0.593 0.888
7 I 0.398 0.602 0.250
8 I 0.401 0.854 0.025
9 I 0.407 0.852 0.612
10 I 0.593 0.148 0.388
11 I 0.599 0.146 0.975
12 I 0.602 0.398 0.750
13 I 0.852 0.407 0.112
14 I 0.854 0.401 0.525

ρ: 3.97 g/cm³
SG: No. 15
magnetic moment: 0.0 Bohr magnetons per cell
formation energy from raw total energies: -7.22 eV per formula unit

---

An optimized crystal structure of GaSnMoI2. Source: Alexandria via LeMat-Bulk, functional PBE-GGA.

Cell lengths 5.536, 5.536, 5.076 Å; angles 90.00, 90.00, 90.00 degrees
Fractional positions:
1 Ga 0.000 0.000 0.000
2 Sn 0.500 0.500 0.000
3 Mo 0.000 0.000 0.500
4 I 0.000 0.500 0.500
5 I 0.500 0.000 0.500

ρ: 5.74 g/cm³
SG: No. 123
magnetic moment: 1.7 Bohr magnetons per cell
formation energy from raw total energies: 3.13 eV per formula unit

---

An optimized crystal structure of AlHgPb. Source: Alexandria via LeMat-Bulk, functional PBE-GGA.

Cell lengths 4.851, 4.851, 4.851 Å; angles 60.00, 60.00, 60.00 degrees
Fractional positions:
1 Al 0.000 0.000 0.000
2 Hg 0.250 0.250 0.250
3 Pb 0.750 0.750 0.750

ρ: 8.94 g/cm³
offset from the most stable computed form: 0.183 eV per formula unit
SG: No. 216
magnetic moment: 0.0 Bohr magnetons per cell
formation energy from the elements: 0.1833 eV per atom

---

An optimized crystal structure of CaIn6Pb5. Source: Alexandria via LeMat-Bulk, functional PBE-GGA.

Cell lengths 9.133, 9.133, 4.866 Å; angles 105.31, 105.31, 106.54 degrees
Fractional positions:
1 Ca 0.000 0.000 0.000
2 In 0.081 0.415 0.248
3 In 0.251 0.251 0.751
4 In 0.415 0.081 0.248
5 In 0.585 0.919 0.752
6 In 0.749 0.749 0.249
7 In 0.919 0.585 0.752
8 Pb 0.168 0.832 0.500
9 Pb 0.333 0.667 0.000
10 Pb 0.500 0.500 0.500
11 Pb 0.667 0.333 0.000
12 Pb 0.832 0.168 0.500

ρ: 8.39 g/cm³
SG: No. 12
magnetic moment: 0.0 Bohr magnetons per cell
formation energy from the elements: -0.0710 eV per atom

---

An optimized crystal structure of Li2NdEr2Ge2. Source: Alexandria via LeMat-Bulk, functional PBE-GGA.

Cell lengths 9.270, 9.270, 9.270 Å; angles 28.14, 28.14, 28.14 degrees
Fractional positions:
1 Li 0.093 0.093 0.093
2 Li 0.907 0.907 0.907
3 Nd 0.500 0.500 0.500
4 Er 0.371 0.371 0.371
5 Er 0.629 0.629 0.629
6 Ge 0.241 0.241 0.241
7 Ge 0.759 0.759 0.759

ρ: 6.77 g/cm³
SG: No. 166
magnetic moment: 0.0 Bohr magnetons per cell
formation energy from the elements: -0.4845 eV per atom

---

An optimized crystal structure of CsU4S8. Source: Alexandria via LeMat-Bulk, functional PBE-GGA.

Cell lengths 8.391, 8.391, 8.391 Å; angles 60.00, 60.00, 60.00 degrees
Fractional positions:
1 Cs 0.000 0.000 0.000
2 U 0.131 0.623 0.623
3 U 0.623 0.131 0.623
4 U 0.623 0.623 0.131
5 U 0.623 0.623 0.623
6 S 0.393 0.393 0.393
7 S 0.393 0.393 0.820
8 S 0.393 0.820 0.393
9 S 0.450 0.850 0.850
10 S 0.820 0.393 0.393
11 S 0.850 0.450 0.850
12 S 0.850 0.850 0.450
13 S 0.850 0.850 0.850

ρ: 5.33 g/cm³
SG: No. 216
magnetic moment: 9.0 Bohr magnetons per cell
formation energy from raw total energies: -16.99 eV per formula unit

---

An optimized crystal structure of KLaCr2. Source: Alexandria via LeMat-Bulk, functional PBE-GGA.

Cell lengths 5.484, 5.484, 7.726 Å; angles 100.05, 100.05, 33.40 degrees
Fractional positions:
1 K 0.000 0.000 0.000
2 La 0.500 0.500 0.500
3 Cr 0.261 0.261 0.599
4 Cr 0.739 0.739 0.401

ρ: 3.72 g/cm³
offset from the most stable computed form: 1.589 eV per formula unit
SG: No. 12
magnetic moment: 0.0 Bohr magnetons per cell
formation energy from the elements: 1.0073 eV per atom

---

An optimized crystal structure of PrSm2. Source: Alexandria via LeMat-Bulk, functional PBE-GGA.

Cell lengths 17.922, 17.922, 17.922 Å; angles 11.76, 11.76, 11.76 degrees
Fractional positions:
1 Pr 0.083 0.083 0.083
2 Pr 0.917 0.917 0.917
3 Sm 0.194 0.194 0.194
4 Sm 0.361 0.361 0.361
5 Sm 0.639 0.639 0.639
6 Sm 0.806 0.806 0.806

ρ: 7.06 g/cm³
offset from the most stable computed form: 0.000 eV per formula unit
SG: No. 166
magnetic moment: 0.0 Bohr magnetons per cell
formation energy from the elements: 0.0093 eV per atom